[1]
Below is a relaxed structure of EuErMg2, with properties calculated at the PBE level.

Structure (POSCAR):
```
EuErMg2
1.0
5.4819 0.0000 0.0000
2.7410 4.7475 0.0000
2.7410 1.5825 4.4760
Er Eu Mg
1 1 2
Cartesian
0.0000 0.0000 0.0000
5.4819 3.1650 2.2380
2.7410 1.5825 1.1190
8.2229 4.7475 3.3570
```

Summary:
**Formation energy**: -0.04 eV/atom
**Energy above the most stable polymorph in this dataset**: 20 meV/atom
**E_tot**: -4.548 eV/atom



[2]
Below is a relaxed structure of NbCrBiB2, with properties calculated at the PBE level.

Structure (POSCAR):
```
NbCrBiB2
1.0
4.3773 0.0000 0.0000
0.0000 4.8981 0.0000
0.0000 0.0000 4.3773
B Nb Cr Bi
2 1 1 1
Cartesian
2.1887 0.0000 0.0000
0.0000 0.0000 2.1887
0.0000 0.0000 0.0000
0.0000 2.4491 0.0000
2.1887 2.4491 2.1887
```

Summary:
**Formation energy**: 1.43 eV/atom
**E_tot**: -5.959 eV/atom



[3]
Below is a relaxed structure of AlTeMoI2, with properties calculated at the PBE level.

Structure (POSCAR):
```
AlTeMoI2
1.0
-1.1647 -3.0606 -4.3281
4.9149 1.0365 -2.0556
2.0497 -4.5010 2.6313
I Mo Al Te
2 1 1 1
Cartesian
2.4575 0.5183 -1.0278
-0.5823 -1.5303 -2.1641
2.9000 -3.2625 -1.8762
0.0000 0.0000 0.0000
1.0248 -2.2505 1.3156
```

Summary:
**Energy above the most stable polymorph in this dataset**: 353 meV/atom
**E_tot**: -3.388 eV/atom



[4]
Below is a relaxed structure of MnNi3As, with properties calculated at the PBE level.

Structure (POSCAR):
```
MnNi3As
1.0
4.3109 0.0000 0.0000
0.0000 4.3109 0.0000
0.0000 0.0000 4.3109
Ni Mn As
3 1 1
Cartesian
0.0000 2.1554 0.0000
0.0000 0.0000 2.1554
2.1554 0.0000 0.0000
2.1554 2.1554 2.1554
0.0000 0.0000 0.0000
```

Summary:
**Formation energy**: 0.43 eV/atom
**Energy above the most stable polymorph in this dataset**: 378 meV/atom
**E_tot**: -5.807 eV/atom